--- w ---
BaSrLa: relaxed, PBE-GGA.

Cell lengths 4.4819, 6.5481, 20.0168 Å; angles 90.00, 90.00, 90.00 degrees
Space group Fmm2 (No. 42)
Asymmetric unit:
Ba 0.0000 0.0000 0.0000 [4 per cell]
Sr 0.0000 0.0000 0.6792 [4 per cell]
La 0.0000 0.0000 0.3373 [4 per cell]

Values from the calculation:
crystal system = orthorhombic
calculated volume = 587.4 Å³/cell
ρ = 4.11 Mg/m³


--- x ---
BaSrLa: relaxed, PBE-GGA.

Cell lengths 6.5830, 6.5830, 25.0571 Å; angles 90.00, 90.00, 120.00 degrees
Space group R-3m (No. 166, hexagonal axes)
Asymmetric unit:
Ba 0.0000 0.0000 0.1184 [6 per cell]
Sr 0.0000 0.0000 0.4291 [6 per cell]
La 0.0000 0.0000 0.2888 [6 per cell]

Values from the calculation:
crystal system = trigonal
calculated volume = 940.4 Å³/cell
ρ = 3.85 Mg/m³


--- y ---
BaSrLa: relaxed, PBE-GGA.

Cell lengths 4.0502, 4.0502, 17.9504 Å; angles 90.00, 90.00, 90.00 degrees
Space group I4mm (No. 107)
Asymmetric unit:
Ba 0.0000 0.0000 0.0000 [2 per cell]
Sr 0.0000 0.0000 0.6854 [2 per cell]
La 0.0000 0.0000 0.3408 [2 per cell]

Values from the calculation:
crystal system = tetragonal
calculated volume = 294.5 Å³/cell
ρ = 4.10 Mg/m³


--- z ---
BaSrLa: relaxed, PBE-GGA.

Cell lengths 8.9171, 8.9171, 8.9171 Å; angles 90.00, 90.00, 90.00 degrees
Space group F-43m (No. 216)
Asymmetric unit:
Ba 0.0000 0.0000 0.0000 [4 per cell]
Sr 0.0000 0.0000 0.5000 [4 per cell]
La 0.2500 0.2500 0.7500 [4 per cell]

Values from the calculation:
crystal system = cubic
calculated volume = 709.0 Å³/cell
ρ = 3.41 Mg/m³


Stability ranking, top and bottom: y is the most stable and z is the least stable.